CeTh4Zr: relaxed, PBE.

abc: 3.5162 3.5162 14.4371
angles: 90.00 90.00 90.00
With the nearest neighbours (Å) after each atom.
Space group P4/mmm (No. 123)
Asymmetric unit:
Ce 0.0000 0.0000 0.0000 (multiplicity 1)  8 Th 3.46, 4 Ce 3.52
Th 0.0000 0.0000 0.3394 (multiplicity 2)  4 Zr 3.40, 8 Th 3.52
Th 0.5000 0.5000 0.1663 (multiplicity 2)  4 Ce 3.46, 8 Th 3.52
Zr 0.5000 0.5000 0.5000 (multiplicity 1)  8 Th 3.40, 4 Zr 3.52

Raw total energy, eV/atom: -7.32
Size of the total moment, μB per formula unit: 0.0

CeTi2: relaxed, PBE.

abc: 7.9434 7.9434 7.9434
angles: 90.00 90.00 90.00
With the nearest neighbours (Å) after each atom.
Space group Fd-3m (No. 227, origin choice 2)
Asymmetric unit:
Ce 0.1250 0.1250 0.1250 (multiplicity 8)  12 Ti 3.29, 4 Ce 3.44
Ti 0.0000 0.0000 0.5000 (multiplicity 16)  6 Ti 2.81

Raw total energy, eV/atom: -6.97
Size of the total moment, μB per formula unit: 0.4

CeTi3: relaxed, PBE.

abc: 4.5398 4.5398 7.5082
angles: 90.00 90.00 90.00
With the nearest neighbours (Å) after each atom.
Space group I4/mmm (No. 139)
Asymmetric unit:
Ce 0.0000 0.0000 0.0000 (multiplicity 2)  12 Ti 2.95-3.21
Ti 0.0000 0.0000 0.5000 (multiplicity 2)  8 Ti 2.95, 4 Ce 3.21
Ti 0.0000 0.5000 0.2500 (multiplicity 4)  4 Ce 2.95, 8 Ti 2.95-3.21

Energy relative to the lowest polymorph listed for this composition, meV/atom: 0
Size of the total moment, μB per formula unit: 0.0

Ce3Ti: relaxed, PBE.

abc: 4.6145 4.6145 4.6145
angles: 90.00 90.00 90.00
With the nearest neighbours (Å) after each atom.
Space group Pm-3m (No. 221)
Asymmetric unit:
Ce 0.0000 0.0000 0.5000 (multiplicity 3)  8 Ce 3.26, 4 Ti 3.26
Ti 0.5000 0.5000 0.5000 (multiplicity 1)  12 Ce 3.26

Raw total energy, eV/atom: -6.25
Size of the total moment, μB per formula unit: 0.0

Ce3Ti: relaxed, PBE.

abc: 7.2477 7.2477 7.2477
angles: 90.00 90.00 90.00
With the nearest neighbours (Å) after each atom.
Space group Fm-3m (No. 225)
Asymmetric unit:
Ce 0.0000 0.0000 0.0000 (multiplicity 4)  8 Ce 3.14
Ce 0.2500 0.2500 0.2500 (multiplicity 8)  4 Ce 3.14, 4 Ti 3.14
Ti 0.0000 0.0000 0.5000 (multiplicity 4)  8 Ce 3.14

Raw total energy, eV/atom: -6.17
Size of the total moment, μB per formula unit: 0.0

CeTi3: relaxed, PBE.

abc: 2.8922 9.7620 5.4223
angles: 90.00 90.00 90.00
With the nearest neighbours (Å) after each atom.
Space group Imm2 (No. 44)
Asymmetric unit:
Ce 0.0000 0.0000 0.0000 (multiplicity 2)  2 Ti 2.69, 2 Ce 2.89
Ti 0.0000 0.2373 0.7463 (multiplicity 4)  1 Ce 2.69, 3 Ti 2.89-2.91
Ti 0.0000 0.5000 0.9984 (multiplicity 2)  8 Ti 2.89-3.04, 4 Ce 3.06-3.08

Energy relative to the lowest polymorph listed for this composition, meV/atom: 7
Size of the total moment, μB per formula unit: 0.0